Here is a relaxed Tb6Ce2Dy5 crystal from Alexandria via LeMat-Bulk. Energies are from PBE-GGA.

Geometry as CIF:
```
data_Tb6Ce2Dy5
_chemical_formula_sum 'Tb12 Ce4 Dy10'
_symmetry_space_group_name_H-M 'P b a m'
_symmetry_Int_Tables_number 55
_cell_length_a 12.625
_cell_length_b 12.743
_cell_length_c 5.200
_cell_angle_alpha 90.00
_cell_angle_beta 90.00
_cell_angle_gamma 90.00
loop_
_symmetry_equiv_pos_as_xyz
'x,y,z'
'-x,-y,-z'
'-x,-y,z'
'x,y,-z'
'x+1/2,-y+1/2,-z'
'-x+1/2,y+1/2,z'
'-x+1/2,y+1/2,-z'
'x+1/2,-y+1/2,z'
loop_
_atom_site_label
_atom_site_type_symbol
_atom_site_fract_x
_atom_site_fract_y
_atom_site_fract_z
Tb1 Tb 0.096 0.100 0.000
Tb2 Tb 0.188 0.417 0.000
Tb3 Tb 0.223 0.607 0.500
Ce1 Ce 0.088 0.696 0.000
Dy1 Dy 0.000 0.500 0.500
Dy2 Dy 0.092 0.272 0.500
Dy3 Dy 0.114 0.893 0.500
```

Total moment: 3.66 μB per cell
Calculated formation energy: 0.177 eV/atom
N(E_F): 50.74 states/eV per cell

=====

Here is a relaxed Tb6CeDy crystal from Alexandria via LeMat-Bulk. Energies are from PBE-GGA.

Geometry as CIF:
```
data_Tb6CeDy
_chemical_formula_sum 'Tb6 Ce1 Dy1'
_symmetry_space_group_name_H-M 'P -1'
_symmetry_Int_Tables_number 2
_cell_length_a 6.486
_cell_length_b 6.768
_cell_length_c 6.886
_cell_angle_alpha 118.90
_cell_angle_beta 102.05
_cell_angle_gamma 90.77
loop_
_symmetry_equiv_pos_as_xyz
'x,y,z'
'-x,-y,-z'
loop_
_atom_site_label
_atom_site_type_symbol
_atom_site_fract_x
_atom_site_fract_y
_atom_site_fract_z
Tb1 Tb 0.229 0.403 0.478
Tb2 Tb 0.250 0.950 0.001
Tb3 Tb 0.267 0.926 0.521
Ce1 Ce 0.000 0.500 0.000
Dy1 Dy 0.500 0.500 0.000
```

Total moment: 1.36 μB per cell
Calculated formation energy: 0.218 eV/atom
N(E_F): 16.81 states/eV per cell

=====

Which formula does entry 2 have? Tb6CeDy